MnAlPt2 | PBE-GGA | optimized geometry

The space group is P4mm (No. 99) and the conventional cell measures 2.792, 2.792 and 7.429 Å, with angles of 90.00, 90.00 and 90.00 degrees. Symmetry generates all atoms from Mn at (0.000, 0.000, 0.000), Al at (0.500, 0.500, 0.767), Pt at (0.000, 0.000, 0.537) and Pt at (0.500, 0.500, 0.245).

The total magnetization comes out at 2.8 μB/f.u. The calculated density is 13.54 g/cm³. The calculation puts the volume at 14.47 Å³ per atom. Its formation energy is -445.8 meV/atom. For the calculated total energy, the calculation gives -26.8 eV per cell.